(1)
{"formula": "NiBiC", "functional": "PBE", "state": "relaxed", "lattice_angstrom": [[3.588, 0.000, 0.000], [0.000, 5.144, 0.000], [0.000, 0.000, 5.536]], "species": ["Ni", "Ni", "Bi", "Bi", "C", "C"], "fractional_positions": [[0.000, 0.000, 0.000], [0.500, 0.500, 0.500], [0.000, 0.000, 0.500], [0.500, 0.500, 0.000], [0.000, 0.500, 0.500], [0.500, 0.000, 0.000]], "ef_mev_per_atom": 821, "e_above_lowest_polymorph_mev_per_atom": 0, "dft_energy_ev_per_cell": -32.85, "space_group": "No. 71"}


(2)
{"formula": "Mg2H2Ir5", "functional": "PBE", "state": "relaxed", "lattice_angstrom": [[4.826, 0.000, 0.000], [0.000, 5.466, 0.000], [-1.744, 0.000, 4.529]], "species": ["Mg", "Mg", "H", "H", "Ir", "Ir", "Ir", "Ir", "Ir"], "fractional_positions": [[0.000, 0.000, 0.000], [0.500, 0.330, 0.000], [0.098, 0.513, 0.300], [0.902, 0.513, 0.700], [0.000, 0.267, 0.500], [0.000, 0.780, 0.500], [0.500, 0.033, 0.500], [0.500, 0.539, 0.500], [0.500, 0.827, 0.000]], "e_above_lowest_polymorph_mev_per_atom": 0, "dft_energy_ev_per_cell": -54.90, "space_group": "No. 3"}


(3)
{"formula": "BeCoCuSi", "functional": "PBE", "state": "relaxed", "lattice_angstrom": [[5.496, 0.000, 0.000], [0.000, 5.496, 0.000], [0.000, 0.000, 5.496]], "species": ["Be", "Be", "Be", "Be", "Co", "Co", "Co", "Co", "Cu", "Cu", "Cu", "Cu", "Si", "Si", "Si", "Si"], "fractional_positions": [[0.000, 0.000, 0.000], [0.000, 0.500, 0.500], [0.500, 0.000, 0.500], [0.500, 0.500, 0.000], [0.250, 0.250, 0.250], [0.250, 0.750, 0.750], [0.750, 0.250, 0.750], [0.750, 0.750, 0.250], [0.250, 0.250, 0.750], [0.250, 0.750, 0.250], [0.750, 0.250, 0.250], [0.750, 0.750, 0.750], [0.000, 0.000, 0.500], [0.000, 0.500, 0.000], [0.500, 0.000, 0.000], [0.500, 0.500, 0.500]], "dft_energy_ev_per_cell": -85.04, "space_group": "No. 216", "formation_energy_uncorrected_mev_per_atom": -227}


(4)
{"formula": "Na3CdAg3I8", "functional": "PBE", "state": "relaxed", "lattice_angstrom": [[7.730, -4.425, 0.000], [7.730, 4.425, 0.000], [-5.125, 0.000, 7.388]], "species": ["Na", "Na", "Na", "Cd", "Ag", "Ag", "Ag", "I", "I", "I", "I", "I", "I", "I", "I"], "fractional_positions": [[0.000, 0.000, 0.000], [0.000, 0.500, 0.000], [0.500, 0.000, 0.000], [0.000, 0.000, 0.500], [0.000, 0.500, 0.500], [0.500, 0.000, 0.500], [0.500, 0.500, 0.500], [0.241, 0.241, 0.729], [0.243, 0.749, 0.731], [0.251, 0.757, 0.269], [0.254, 0.254, 0.267], [0.746, 0.746, 0.733], [0.749, 0.243, 0.731], [0.757, 0.251, 0.269], [0.759, 0.759, 0.271]], "dft_energy_ev_per_cell": -35.92, "space_group": "No. 12", "formation_energy_uncorrected_mev_per_atom": -673}


(5)
{"formula": "VNiP", "functional": "PBE", "state": "relaxed", "lattice_angstrom": [[5.919, 0.000, 0.000], [0.000, 3.504, 0.000], [-0.096, 0.000, 10.186]], "species": ["V", "V", "V", "V", "V", "V", "Ni", "Ni", "Ni", "Ni", "Ni", "Ni", "P", "P", "P", "P", "P", "P"], "fractional_positions": [[0.029, 0.250, 0.115], [0.146, 0.250, 0.417], [0.463, 0.750, 0.785], [0.537, 0.250, 0.215], [0.854, 0.750, 0.583], [0.971, 0.750, 0.885], [0.129, 0.250, 0.705], [0.355, 0.750, 0.042], [0.488, 0.750, 0.413], [0.512, 0.250, 0.587], [0.645, 0.250, 0.958], [0.871, 0.750, 0.295], [0.237, 0.750, 0.250], [0.257, 0.750, 0.586], [0.261, 0.250, 0.914], [0.739, 0.750, 0.086], [0.743, 0.250, 0.414], [0.763, 0.250, 0.750]], "ef_mev_per_atom": -734, "dft_energy_ev_per_cell": -135.07, "space_group": "No. 11"}


(6)
{"formula": "KSeBr", "functional": "PBE", "state": "relaxed", "lattice_angstrom": [[4.180, 0.000, 0.000], [0.528, 7.259, 0.000], [0.020, 1.211, 9.445]], "species": ["K", "K", "Se", "Se", "Br", "Br"], "fractional_positions": [[0.000, 0.000, 0.000], [0.000, 0.000, 0.500], [0.251, 0.494, 0.066], [0.749, 0.506, 0.934], [0.492, 0.050, 0.743], [0.508, 0.950, 0.257]], "e_above_lowest_polymorph_mev_per_atom": 0, "dft_energy_ev_per_cell": -18.38, "space_group": "No. 2", "formation_energy_uncorrected_mev_per_atom": -979}


(7)
{"formula": "ZnCdFe2", "functional": "PBE", "state": "relaxed", "lattice_angstrom": [[8.766, 0.000, 0.000], [0.000, 2.673, 0.000], [-0.606, 0.000, 4.988]], "species": ["Zn", "Zn", "Cd", "Cd", "Fe", "Fe", "Fe", "Fe"], "fractional_positions": [[0.000, 0.000, 0.000], [0.500, 0.500, 0.000], [0.244, 0.000, 0.719], [0.744, 0.500, 0.719], [0.243, 0.500, 0.230], [0.491, 0.000, 0.439], [0.743, 0.000, 0.230], [0.991, 0.500, 0.439]], "ef_mev_per_atom": 245, "dft_energy_ev_per_cell": -36.27, "space_group": "No. 8"}


(8)
{"formula": "NdMg2AlPt4", "functional": "PBE", "state": "relaxed", "lattice_angstrom": [[2.224, 1.284, 8.494], [-2.224, 1.284, 8.494], [0.000, -2.568, 8.494]], "species": ["Nd", "Mg", "Mg", "Al", "Pt", "Pt", "Pt", "Pt"], "fractional_positions": [[0.000, 0.000, 0.000], [0.242, 0.242, 0.242], [0.758, 0.758, 0.758], [0.500, 0.500, 0.500], [0.134, 0.134, 0.134], [0.401, 0.401, 0.401], [0.599, 0.599, 0.599], [0.866, 0.866, 0.866]], "ef_mev_per_atom": -941, "dft_energy_ev_per_cell": -43.39, "space_group": "No. 166"}


(9)
{"formula": "MnCoI", "functional": "PBE", "state": "relaxed", "lattice_angstrom": [[9.910, 0.000, 0.000], [0.000, 3.818, 0.000], [0.000, 0.000, 6.756]], "species": ["Mn", "Mn", "Mn", "Mn", "Co", "Co", "Co", "Co", "I", "I", "I", "I"], "fractional_positions": [[0.000, 0.000, 0.000], [0.000, 0.500, 0.500], [0.500, 0.000, 0.208], [0.500, 0.500, 0.708], [0.111, 0.000, 0.333], [0.111, 0.500, 0.833], [0.889, 0.000, 0.333], [0.889, 0.500, 0.833], [0.308, 0.000, 0.891], [0.308, 0.500, 0.391], [0.692, 0.000, 0.891], [0.692, 0.500, 0.391]], "dft_energy_ev_per_cell": -64.41, "space_group": "No. 38", "formation_energy_uncorrected_mev_per_atom": 574}


(10)
{"formula": "ReNiAgC2", "functional": "PBE", "state": "relaxed", "lattice_angstrom": [[3.925, 0.000, 0.000], [0.000, 3.925, 0.000], [0.000, 0.000, 5.297]], "species": ["Re", "Ni", "Ag", "C", "C"], "fractional_positions": [[0.000, 0.000, 0.000], [0.500, 0.500, 0.500], [0.000, 0.000, 0.500], [0.000, 0.500, 0.000], [0.500, 0.000, 0.000]], "ef_mev_per_atom": 1728, "dft_energy_ev_per_cell": -30.89, "space_group": "No. 123"}


(11)
{"formula": "KTaTl4", "functional": "PBE", "state": "relaxed", "lattice_angstrom": [[0.000, 4.452, 4.452], [4.452, 0.000, 4.452], [4.452, 4.452, 0.000]], "species": ["K", "Ta", "Tl", "Tl", "Tl", "Tl"], "fractional_positions": [[0.000, 0.000, 0.000], [0.750, 0.750, 0.750], [0.376, 0.376, 0.376], [0.376, 0.376, 0.873], [0.376, 0.873, 0.376], [0.873, 0.376, 0.376]], "ef_mev_per_atom": 759, "dft_energy_ev_per_cell": -17.86, "space_group": "No. 216"}


(12)
{"formula": "KTbCuO3", "functional": "PBE", "state": "relaxed", "lattice_angstrom": [[7.312, 0.000, 0.000], [0.000, 3.613, 0.000], [-3.103, 0.000, 8.603]], "species": ["K", "K", "Tb", "Tb", "Cu", "Cu", "O", "O", "O", "O", "O", "O"], "fractional_positions": [[0.191, 0.250, 0.170], [0.809, 0.750, 0.830], [0.328, 0.750, 0.859], [0.672, 0.250, 0.141], [0.032, 0.250, 0.624], [0.968, 0.750, 0.376], [0.116, 0.250, 0.850], [0.117, 0.750, 0.600], [0.462, 0.750, 0.120], [0.538, 0.250, 0.880], [0.883, 0.250, 0.400], [0.884, 0.750, 0.150]], "dft_energy_ev_per_cell": -72.91, "space_group": "No. 11", "formation_energy_uncorrected_mev_per_atom": -1959}